# 1
A geometry-optimized KCuAs2C structure. Source: Alexandria, functional PBE.

abc: 4.5934 6.0430 4.5934
angles: 90.00 90.00 90.00
With the nearest neighbours (Å) after each atom.
Positions (direct):
C1 0.5000 0.5000 0.5000  4 K 3.25
K1 0.0000 0.5000 0.0000  2 Cu 3.02, 4 C 3.25
Cu1 0.0000 0.0000 0.0000  4 As 2.30
As1 0.0000 0.0000 0.5000  2 Cu 2.30
As2 0.5000 0.0000 0.0000  2 Cu 2.30

The calculation puts the energy above the most stable polymorph in this dataset at 0.6058 eV per atom. Its energy of formation is 1.437 eV/atom.

---

# 2
A geometry-optimized KCuAs2C structure. Source: Alexandria, functional PBE.

abc: 4.8321 3.9133 4.8321
angles: 90.00 90.00 90.00
With the nearest neighbours (Å) after each atom.
Positions (direct):
As1 0.5000 0.0000 0.0000  2 C 2.42
As2 0.0000 0.0000 0.5000  2 C 2.42
K1 0.5000 0.5000 0.5000  8 As 3.11, 4 Cu 3.42
C1 0.0000 0.0000 0.0000  2 Cu 1.96
Cu1 0.0000 0.5000 0.0000  2 C 1.96

The calculation puts the energy above the most stable polymorph in this dataset at 0.0000 eV per atom. Its energy of formation is 0.831 eV/atom.

---

# 3
A geometry-optimized La2CuAsC structure. Source: Alexandria, functional PBE.

abc: 5.2661 5.2661 3.8717
angles: 90.00 90.00 90.00
With the nearest neighbours (Å) after each atom.
Positions (direct):
Cu1 0.0000 0.0000 0.5000  2 C 1.94
C1 0.0000 0.0000 0.0000  2 Cu 1.94
As1 0.5000 0.5000 0.5000  8 La 3.27
La1 0.0000 0.5000 0.0000  2 C 2.63
La2 0.5000 0.0000 0.0000  2 C 2.63

Its energy of formation is -0.572 eV/atom.

---

# 4
A geometry-optimized LiCuAsC2 structure. Source: Alexandria, functional PBE.

abc: 3.9338 3.9338 4.5809
angles: 90.00 90.00 90.00
With the nearest neighbours (Å) after each atom.
Positions (direct):
Cu1 0.5000 0.5000 0.5000  4 Li 2.78, 8 C 3.02
As1 0.0000 0.0000 0.0000  4 C 1.97
C1 0.0000 0.5000 0.0000  2 As 1.97
C2 0.5000 0.0000 0.0000  2 As 1.97
Li1 0.0000 0.0000 0.5000  2 As 2.29

Its energy of formation is 1.962 eV/atom.

---

# 5
A geometry-optimized Li2CuAsCO7 structure. Source: Alexandria, functional PBE.

abc: 6.2936 5.2434 8.7394
angles: 88.09 90.00 90.00
With the nearest neighbours (Å) after each atom.
Positions (direct):
Li1 0.9806 0.1843 0.2154  3 O 2.00-2.24
Li2 0.5194 0.1843 0.2154  3 O 2.00-2.24
Li3 0.0194 0.8157 0.7846  3 O 2.00-2.24
Li4 0.4806 0.8157 0.7846  3 O 2.00-2.24
O1 0.0455 0.7973 0.3207  1 As 1.73, 1 Cu 1.88
O2 0.5455 0.2027 0.6793  1 As 1.73, 1 Cu 1.88
O3 0.7500 0.4518 0.0969  1 C 1.26
O4 0.7500 0.2043 0.3806  1 As 1.69
O5 0.7500 0.7428 0.8990  1 C 1.28
O6 0.2500 0.5482 0.9031  1 C 1.26
O7 0.4545 0.7973 0.3207  1 As 1.73, 1 Cu 1.88
O8 0.7500 0.6429 0.5499  1 As 1.75, 1 Cu 1.89
O9 0.2500 0.3571 0.4501  1 As 1.75, 1 Cu 1.89
O10 0.2500 0.1253 0.8646  1 C 1.34
O11 0.7500 0.8747 0.1354  1 C 1.34
O12 0.2500 0.2572 0.1010  1 C 1.28
O13 0.9545 0.2027 0.6793  1 As 1.73, 1 Cu 1.88
O14 0.2500 0.7957 0.6194  1 As 1.69
Cu1 0.2500 0.2398 0.6565  4 O 1.88-1.90
Cu2 0.7500 0.7602 0.3435  4 O 1.88-1.90
As1 0.7500 0.3090 0.5618  4 O 1.69-1.75
As2 0.2500 0.6910 0.4382  4 O 1.69-1.75
C1 0.2500 0.3231 0.9586  3 O 1.26-1.34
C2 0.7500 0.6769 0.0414  3 O 1.26-1.34

The value obtained for the uncorrected formation energy is -1.3433 eV/atom.

---

# 6
A geometry-optimized Na2CuAsCO7 structure. Source: Alexandria, functional PBE.

abc: 6.6593 5.3143 9.1615
angles: 88.35 90.00 90.00
With the nearest neighbours (Å) after each atom.
Positions (direct):
O1 0.2500 0.3047 0.0590  1 C 1.26
O2 0.5485 0.2002 0.6805  1 As 1.72
O3 0.2500 0.3819 0.4507  1 As 1.74
O4 0.2500 0.4638 0.8282  1 C 1.31
O5 0.4515 0.7998 0.3195  1 As 1.72
O6 0.7500 0.9458 0.1352  1 C 1.30
O7 0.2500 0.8416 0.5948  1 As 1.71
O8 0.7500 0.6181 0.5493  1 As 1.74
O9 0.9515 0.2002 0.6805  1 As 1.72
O10 0.2500 0.0542 0.8648  1 C 1.30
O11 0.7500 0.5362 0.1718  1 C 1.31
O12 0.7500 0.1584 0.4052  1 As 1.71
O13 0.0485 0.7998 0.3195  1 As 1.72
O14 0.7500 0.6953 0.9410  1 C 1.26
C1 0.2500 0.2752 0.9231  3 O 1.26-1.31
C2 0.7500 0.7248 0.0769  3 O 1.26-1.31
Cu1 0.7500 0.7873 0.3489  6 O 2.01-2.13
Cu2 0.2500 0.2127 0.6511  6 O 2.01-2.13
As1 0.7500 0.2917 0.5733  4 O 1.71-1.74
As2 0.2500 0.7083 0.4267  4 O 1.71-1.74
Na1 0.5047 0.7647 0.7683  5 O 2.30-2.47
Na2 0.4953 0.2353 0.2317  5 O 2.30-2.47
Na3 0.9953 0.7647 0.7683  5 O 2.30-2.47
Na4 0.0047 0.2353 0.2317  5 O 2.30-2.47

The value obtained for the uncorrected formation energy is -1.3100 eV/atom.

---

# 7
A geometry-optimized Na6Cu2AsC4O16 structure. Source: Alexandria, functional PBE.

abc: 9.9503 9.9503 9.9503
angles: 60.00 60.00 60.00
With the nearest neighbours (Å) after each atom.
Positions (direct):
Na1 0.2117 0.2117 0.7883  6 O 2.43-2.52
Na2 0.7883 0.2117 0.7883  6 O 2.43-2.52
Na3 0.2117 0.7883 0.7883  6 O 2.43-2.52
Na4 0.0383 0.4617 0.4617  6 O 2.43-2.52
Na5 0.7883 0.2117 0.2117  6 O 2.43-2.52
Na6 0.0383 0.4617 0.0383  6 O 2.43-2.52
Na7 0.4617 0.0383 0.0383  6 O 2.43-2.52
Na8 0.4617 0.0383 0.4617  6 O 2.43-2.52
Na9 0.4617 0.4617 0.0383  6 O 2.43-2.52
Na10 0.0383 0.0383 0.4617  6 O 2.43-2.52
Na11 0.2117 0.7883 0.2117  6 O 2.43-2.52
Na12 0.7883 0.7883 0.2117  6 O 2.43-2.52
O1 0.1794 0.1794 0.1794  1 As 1.72
O2 0.7226 0.8199 0.4765  1 C 1.30
O3 0.7735 0.5274 0.4301  1 C 1.30
O4 0.8199 0.4765 0.7226  1 C 1.30
O5 0.0706 0.7881 0.0706  1 As 1.72
O6 0.0706 0.0706 0.7881  1 As 1.72
O7 0.9810 0.4765 0.8199  1 C 1.30
O8 0.2690 0.4301 0.5274  1 C 1.30
O9 0.5274 0.4301 0.7735  1 C 1.30
O10 0.0706 0.0706 0.0706  1 As 1.72
O11 0.7226 0.9810 0.8199  1 C 1.30
O12 0.4619 0.1794 0.1794  1 As 1.72
O13 0.8199 0.7226 0.9810  1 C 1.30
O14 0.9810 0.7226 0.4765  1 C 1.30
O15 0.9810 0.8199 0.7226  1 C 1.30
O16 0.4765 0.8199 0.9810  1 C 1.30
O17 0.2690 0.7735 0.4301  1 C 1.30
O18 0.4301 0.2690 0.7735  1 C 1.30
O19 0.1794 0.1794 0.4619  1 As 1.72
O20 0.7881 0.0706 0.0706  1 As 1.72
O21 0.4301 0.7735 0.5274  1 C 1.30
O22 0.4301 0.5274 0.2690  1 C 1.30
O23 0.7226 0.4765 0.9810  1 C 1.30
O24 0.4765 0.9810 0.7226  1 C 1.30
O25 0.8199 0.9810 0.4765  1 C 1.30
O26 0.7735 0.2690 0.5274  1 C 1.30
O27 0.4765 0.7226 0.8199  1 C 1.30
O28 0.5274 0.2690 0.4301  1 C 1.30
O29 0.1794 0.4619 0.1794  1 As 1.72
O30 0.2690 0.5274 0.7735  1 C 1.30
O31 0.7735 0.4301 0.2690  1 C 1.30
O32 0.5274 0.7735 0.2690  1 C 1.30
Cu1 0.6250 0.1250 0.6250  6 O 2.11
Cu2 0.6250 0.6250 0.6250  6 O 2.11
Cu3 0.1250 0.6250 0.6250  6 O 2.11
Cu4 0.6250 0.6250 0.1250  6 O 2.11
As1 0.0000 0.0000 0.0000  4 O 1.72
As2 0.2500 0.2500 0.2500  4 O 1.72
C1 0.4794 0.8402 0.8402  3 O 1.30
C2 0.7706 0.4098 0.4098  3 O 1.30
C3 0.4098 0.4098 0.7706  3 O 1.30
C4 0.8402 0.8402 0.4794  3 O 1.30
C5 0.8402 0.4794 0.8402  3 O 1.30
C6 0.4098 0.4098 0.4098  3 O 1.30
C7 0.8402 0.8402 0.8402  3 O 1.30
C8 0.4098 0.7706 0.4098  3 O 1.30

The value obtained for the uncorrected formation energy is -1.3896 eV/atom.

---

# 8
A geometry-optimized CuAs2CSe structure. Source: Alexandria, functional PBE.

abc: 4.3015 4.3015 4.4251
angles: 90.00 90.00 90.00
With the nearest neighbours (Å) after each atom.
Positions (direct):
C1 0.0000 0.0000 0.0000  4 As 2.15, 2 Se 2.21
Cu1 0.5000 0.5000 0.5000  4 Se 3.04, 8 As 3.09
As1 0.5000 0.0000 0.0000  2 C 2.15
As2 0.0000 0.5000 0.0000  2 C 2.15
Se1 0.0000 0.0000 0.5000  2 C 2.21

The value obtained for the uncorrected formation energy is 1.1666 eV/atom. The calculation puts the energy above the most stable polymorph in this dataset at 0.0000 eV per atom.

---

# 9
A geometry-optimized CuAs2CSe structure. Source: Alexandria, functional PBE.

abc: 4.6297 4.6297 4.7830
angles: 90.00 90.00 90.00
With the nearest neighbours (Å) after each atom.
Positions (direct):
As1 0.5000 0.0000 0.0000  2 Cu 2.31
As2 0.0000 0.5000 0.0000  2 Cu 2.31
C1 0.5000 0.5000 0.5000  4 Se 3.27, 8 As 3.33
Se1 0.0000 0.0000 0.5000  2 Cu 2.39
Cu1 0.0000 0.0000 0.0000  4 As 2.31, 2 Se 2.39

The value obtained for the uncorrected formation energy is 1.8374 eV/atom. The calculation puts the energy above the most stable polymorph in this dataset at 0.6708 eV per atom.

---

# 10
A geometry-optimized ZnCuAs2C structure. Source: Alexandria, functional PBE.

abc: 4.6005 3.7426 4.6005
angles: 90.00 90.00 90.00
With the nearest neighbours (Å) after each atom.
Positions (direct):
As1 0.0000 0.0000 0.5000  2 C 2.30
As2 0.5000 0.0000 0.0000  2 C 2.30
C1 0.0000 0.0000 0.0000  2 Zn 1.87
Cu1 0.5000 0.5000 0.5000  8 As 2.97, 4 Zn 3.25
Zn1 0.0000 0.5000 0.0000  2 C 1.87

Its energy of formation is 0.932 eV/atom.

---

# 11
A geometry-optimized Zn2CuAsC structure. Source: Alexandria, functional PBE.

abc: 3.8494 5.2057 3.8494
angles: 90.00 90.00 90.00
With the nearest neighbours (Å) after each atom.
Positions (direct):
As1 0.0000 0.5000 0.0000  2 C 2.60, 4 Cu 2.72
Cu1 0.5000 0.5000 0.5000  4 As 2.72
Zn1 0.0000 0.0000 0.5000  2 C 1.92
Zn2 0.5000 0.0000 0.0000  2 C 1.92
C1 0.0000 0.0000 0.0000  4 Zn 1.92

Its energy of formation is 0.680 eV/atom.

---

# 12
A geometry-optimized Dy5As2C2 structure. Source: Alexandria, functional PBE.

abc: 7.3167 6.5411 9.8918
angles: 109.31 111.71 90.00
With the nearest neighbours (Å) after each atom.
Positions (direct):
Dy1 0.2332 0.7083 0.9530  2 C 2.43-2.54
Dy2 0.2198 0.2083 0.9530  2 C 2.43-2.54
Dy3 0.1280 0.6622 0.5000  2 C 2.32-2.35
Dy4 0.7668 0.7554 0.0470  2 C 2.43-2.54
Dy5 0.7801 0.8145 0.7173  2 C 2.32-2.50
Dy6 0.8720 0.1622 0.5000  2 C 2.32-2.35
Dy7 0.5627 0.5972 0.2827  2 C 2.32-2.50
Dy8 0.7802 0.2554 0.0470  2 C 2.43-2.54
Dy9 0.2199 0.0972 0.2827  2 C 2.32-2.50
Dy10 0.4373 0.3145 0.7173  2 C 2.32-2.50
C1 0.1626 0.3057 0.5000  4 Dy 2.32-2.35
C2 0.5000 0.4859 0.0000  6 Dy 2.43-2.54
C3 0.0000 0.9859 0.0000  6 Dy 2.43-2.54
C4 0.8374 0.8057 0.5000  4 Dy 2.32-2.35
As1 0.1487 0.6071 0.2074  7 Dy 2.85-3.17
As2 0.8513 0.3997 0.7926  7 Dy 2.85-3.17
As3 0.4413 0.8997 0.7926  7 Dy 2.85-3.17
As4 0.5587 0.1071 0.2074  7 Dy 2.85-3.17

Its energy of formation is -0.703 eV/atom.

---

Number 1: magnetization 1.5 Bohr magnetons per cell. Number 2: magnetization 0.0 Bohr magnetons per cell. Number 3: magnetization 0.0 Bohr magnetons per cell. Number 4: magnetization 0.0 Bohr magnetons per cell. Number 5: magnetization 0.0 Bohr magnetons per cell. Number 6: magnetization 3.6 Bohr magnetons per cell. Number 7: magnetization 6.2 Bohr magnetons per cell. Number 8: magnetization 0.0 Bohr magnetons per cell. Number 9: magnetization 0.7 Bohr magnetons per cell. Number 10: magnetization 0.0 Bohr magnetons per cell. Number 11: magnetization 0.0 Bohr magnetons per cell. Number 12: magnetization 0.0 Bohr magnetons per cell.